1.
Nd3Co: relaxed, PBE.

```
Nd3Co
1.0
-1.830 5.411 2.860
1.830 -5.411 2.860
1.830 5.411 -2.860
Nd Co
3 1
direct
0.000 0.000 0.000 Nd
0.318 0.507 0.811 Nd
0.697 0.507 0.189 Nd
0.567 0.067 0.500 Co
```

Summary:
Formation energy from the elements (meV/atom): 38
DOS(E_F) (states/eV/f.u.): 4.352

---

2.
TaMnPt3: relaxed, PBE.

```
TaMnPt3
1.0
4.873 0.000 0.000
0.000 4.873 0.000
0.000 0.000 4.873
Ta Mn Pt
1 1 3
direct
0.000 0.000 0.000 Ta
0.500 0.500 0.500 Mn
0.000 0.000 0.500 Pt
0.000 0.500 0.000 Pt
0.500 0.000 0.000 Pt
```

Summary:
Formation energy from the elements (meV/atom): 872
DOS(E_F) (states/eV/f.u.): 3.829
Energy above the lowest structure with this stoichiometry (eV per atom): 1.369

---

3.
LiTeBr4: relaxed, PBE.

```
LiTeBr4
1.0
0.000 4.566 4.566
4.566 0.000 4.566
4.566 4.566 0.000
Li Te Br
1 1 4
direct
0.000 0.000 0.000 Li
0.750 0.750 0.750 Te
0.375 0.375 0.375 Br
0.375 0.375 0.876 Br
0.375 0.876 0.375 Br
0.876 0.375 0.375 Br
```

Summary:
DOS(E_F) (states/eV/f.u.): 6.394
Energy above the lowest structure with this stoichiometry (eV per atom): 1.017
Raw formation energy (meV/atom): 312

---

4.
MgAl3Pt: relaxed, PBE.

```
MgAl3Pt
1.0
6.541 0.000 0.000
0.000 3.684 0.000
-2.432 0.000 7.378
Mg Al Pt
2 6 2
direct
0.167 0.250 0.171 Mg
0.833 0.750 0.829 Mg
0.083 0.250 0.644 Al
0.326 0.750 0.906 Al
0.343 0.750 0.513 Al
0.657 0.250 0.487 Al
0.674 0.250 0.094 Al
0.917 0.750 0.356 Al
0.493 0.250 0.750 Pt
0.507 0.750 0.250 Pt
```

Summary:
Formation energy from the elements (meV/atom): -540
DOS(E_F) (states/eV/f.u.): 1.857
Energy above the lowest structure with this stoichiometry (eV per atom): 0.000

---

5.
Tl2AgGeSe4: relaxed, PBE.

```
Tl2AgGeSe4
1.0
-3.789 3.789 4.057
3.789 -3.789 4.057
3.789 3.789 -4.057
Tl Ag Ge Se
2 1 1 4
direct
0.000 0.000 0.000 Tl
0.750 0.250 0.500 Tl
0.250 0.750 0.500 Ag
0.500 0.500 0.000 Ge
0.175 0.134 0.622 Se
0.447 0.825 0.958 Se
0.512 0.553 0.378 Se
0.866 0.488 0.042 Se
```

Summary:
DOS(E_F) (states/eV/f.u.): 4.275
Raw formation energy (meV/atom): -269

---

6.
Li2MoOs: relaxed, PBE.

```
Li2MoOs
1.0
0.000 2.932 2.932
2.932 0.000 2.932
2.932 2.932 0.000
Li Mo Os
2 1 1
direct
0.250 0.250 0.250 Li
0.750 0.750 0.750 Li
0.000 0.000 0.000 Mo
0.500 0.500 0.500 Os
```

Summary:
Formation energy from the elements (meV/atom): 776
DOS(E_F) (states/eV/f.u.): 5.440
Energy above the lowest structure with this stoichiometry (eV per atom): 0.627

---

7.
AlSbO: relaxed, PBE.

```
AlSbO
1.0
8.793 -1.551 0.000
8.793 1.551 0.000
-1.279 0.000 4.589
Al Sb O
2 2 2
direct
0.000 0.000 0.000 Al
0.592 0.592 0.589 Al
0.734 0.734 0.479 Sb
0.849 0.849 0.017 Sb
0.055 0.055 0.722 O
0.537 0.537 0.201 O
```

Summary:
DOS(E_F) (states/eV/f.u.): 0.741
Energy above the lowest structure with this stoichiometry (eV per atom): 0.000
Raw formation energy (meV/atom): -1500

---

8.
La2NbGaPd: relaxed, PBE.

```
La2NbGaPd
1.0
5.668 0.000 0.000
0.000 5.668 0.000
0.000 0.000 4.874
La Nb Ga Pd
2 1 1 1
direct
0.000 0.500 0.000 La
0.500 0.000 0.000 La
0.000 0.000 0.500 Nb
0.500 0.500 0.500 Ga
0.000 0.000 0.000 Pd
```

Summary:
Formation energy from the elements (meV/atom): 320
DOS(E_F) (states/eV/f.u.): 9.195

---

9.
Sm7Dy12Y: relaxed, PBE.

```
Sm7Dy12Y
1.0
5.989 3.457 5.399
-5.989 3.457 5.399
0.000 -6.915 5.399
Sm Dy Y
7 12 1
direct
0.000 0.000 0.000 Sm
0.102 0.425 0.346 Sm
0.346 0.102 0.425 Sm
0.425 0.346 0.102 Sm
0.575 0.654 0.898 Sm
0.654 0.898 0.575 Sm
0.898 0.575 0.654 Sm
0.004 0.881 0.367 Dy
0.119 0.633 0.996 Dy
0.227 0.352 0.755 Dy
0.245 0.773 0.648 Dy
0.352 0.755 0.227 Dy
0.367 0.004 0.881 Dy
0.633 0.996 0.119 Dy
0.648 0.245 0.773 Dy
0.755 0.227 0.352 Dy
0.773 0.648 0.245 Dy
0.881 0.367 0.004 Dy
0.996 0.119 0.633 Dy
0.500 0.500 0.500 Y
```

Summary:
Formation energy from the elements (meV/atom): 236
DOS(E_F) (states/eV/f.u.): 36.453
Energy above the lowest structure with this stoichiometry (eV per atom): 0.000

---

10.
TlIn2I4: relaxed, PBE.

```
TlIn2I4
1.0
-3.314 3.314 7.600
3.314 -3.314 7.600
3.314 3.314 -7.600
Tl In I
1 2 4
direct
0.000 0.000 0.000 Tl
0.400 0.400 0.000 In
0.600 0.600 0.000 In
0.000 0.500 0.500 I
0.210 0.210 0.000 I
0.500 0.000 0.500 I
0.790 0.790 0.000 I
```

Summary:
DOS(E_F) (states/eV/f.u.): 2.381
Energy above the lowest structure with this stoichiometry (eV per atom): 0.126
Raw formation energy (meV/atom): -362

---

11.
PmPrSc4: relaxed, PBE.

```
PmPrSc4
1.0
5.389 0.000 0.000
0.000 10.291 0.000
0.000 0.000 6.053
Pm Pr Sc
2 2 8
direct
0.250 0.250 0.073 Pm
0.750 0.750 0.927 Pm
0.250 0.750 0.573 Pr
0.750 0.250 0.427 Pr
0.250 0.078 0.594 Sc
0.250 0.422 0.594 Sc
0.250 0.577 0.094 Sc
0.250 0.923 0.094 Sc
0.750 0.077 0.906 Sc
0.750 0.423 0.906 Sc
0.750 0.578 0.406 Sc
0.750 0.922 0.406 Sc
```

Summary:
Formation energy from the elements (meV/atom): 50
DOS(E_F) (states/eV/f.u.): 11.560
Energy above the lowest structure with this stoichiometry (eV per atom): 0.000

---

12.
Y3Te2Pb: relaxed, PBE.

```
Y3Te2Pb
1.0
-2.213 3.110 6.583
2.213 -3.110 6.583
2.213 3.110 -6.583
Y Te Pb
3 2 1
direct
0.000 0.000 0.000 Y
0.338 0.338 0.000 Y
0.662 0.662 0.000 Y
0.168 0.668 0.500 Te
0.832 0.332 0.500 Te
0.500 0.000 0.500 Pb
```

Summary:
DOS(E_F) (states/eV/f.u.): 1.995
Energy above the lowest structure with this stoichiometry (eV per atom): 0.003
Raw formation energy (meV/atom): -1119